DFT (GGA-PBE) results for LiRh2Au after structural relaxation.

Geometry as extended XYZ:
```
4
Lattice="-3.659 -1.699 0.188 0.351 -1.154 -3.603 1.570 -3.248 1.193" Properties=species:S:1:pos:R:3 pbc="T T T"
Rh 0.000 0.000 0.000
Rh 0.960 -2.201 -1.205
Li -1.045 -2.474 0.690
Au -1.654 -1.427 -1.708
```

Summary:
magnetic moment: 0.0 Bohr magnetons per cell
formation enthalpy at 0 K: -0.057 eV per atom
density of states at the Fermi level: 4.9 states/eV/f.u.